# Al2PbAu

A relaxed structure of Al2PbAu (GGA-PBE, the Alexandria database).

Summary:
Crystal system: orthorhombic
E: -3.62 eV/atom
SG: Cmmm
Energy relative to the elements: -0.2 kcal/mol of atoms

Cell: 4.4260 4.8274 7.8260 Å, 90.00 90.00 90.00°
Fractional positions:
Al1 0.0000 0.0000 0.1990
Al2 0.0000 0.0000 0.8010
Al3 0.5000 0.5000 0.1990
Al4 0.5000 0.5000 0.8010
Pb1 0.0000 0.5000 0.5000
Pb2 0.5000 0.0000 0.5000
Au1 0.0000 0.5000 0.0000
Au2 0.5000 0.0000 0.0000